1.
Density functional theory data (PBE-GGA) for HoGa2Sn after structural relaxation.

Computed properties:
The density of states at the Fermi level is 0.556 states/eV per atom. The calculation puts the total magnetic moment at 0.000 μB/atom. The value obtained for the energy above the most stable polymorph in this dataset is 250 meV/atom. For the formation energy, the calculation gives -21.9 kJ per mole of atoms.

The structure in CIF format:
```
data_HoGa2Sn
_symmetry_space_group_name_H-M 'P 1'
_symmetry_Int_Tables_number 1
_symmetry_space_group_name_Hall 'P 1'
_cell_length_a 4.8054
_cell_length_b 4.8054
_cell_length_c 5.3800
_cell_angle_alpha 63.47
_cell_angle_beta 63.47
_cell_angle_gamma 60.00
loop_
_atom_site_label
_atom_site_type_symbol
_atom_site_fract_x
_atom_site_fract_y
_atom_site_fract_z
Sn1 Sn 0.0000 0.0000 0.0000
Ga1 Ga 0.2643 0.2643 0.2070
Ho1 Ho 0.5000 0.5000 0.5000
Ga2 Ga 0.7357 0.7357 0.7930
```


2.
Density functional theory data (PBE-GGA) for HoGa2Sn after structural relaxation.

Computed properties:
The density of states at the Fermi level is 0.464 states/eV per atom. The calculation puts the total magnetic moment at 0.000 μB/atom. The value obtained for the energy above the most stable polymorph in this dataset is 0 meV/atom. For the formation energy, the calculation gives -46.0 kJ per mole of atoms.

The structure in CIF format:
```
data_HoGa2Sn
_symmetry_space_group_name_H-M 'P 1'
_symmetry_Int_Tables_number 1
_symmetry_space_group_name_Hall 'P 1'
_cell_length_a 4.3154
_cell_length_b 4.4616
_cell_length_c 4.4616
_cell_angle_alpha 90.00
_cell_angle_beta 90.00
_cell_angle_gamma 90.00
loop_
_atom_site_label
_atom_site_type_symbol
_atom_site_fract_x
_atom_site_fract_y
_atom_site_fract_z
Ho1 Ho 0.5000 0.5000 0.5000
Sn1 Sn 0.5000 0.0000 0.0000
Ga1 Ga 0.0000 0.0000 0.5000
Ga2 Ga 0.0000 0.5000 0.0000
```


3.
Density functional theory data (PBE-GGA) for HoGaSn after structural relaxation.

Computed properties:
The density of states at the Fermi level is 0.245 states/eV per atom. The calculation puts the total magnetic moment at 0.000 μB/atom. For the formation energy, the calculation gives -46.5 kJ per mole of atoms.

The structure in CIF format:
```
data_HoGaSn
_symmetry_space_group_name_H-M 'P 1'
_symmetry_Int_Tables_number 1
_symmetry_space_group_name_Hall 'P 1'
_cell_length_a 4.0432
_cell_length_b 7.4350
_cell_length_c 9.8113
_cell_angle_alpha 90.00
_cell_angle_beta 90.00
_cell_angle_gamma 90.00
loop_
_atom_site_label
_atom_site_type_symbol
_atom_site_fract_x
_atom_site_fract_y
_atom_site_fract_z
Ho1 Ho 0.2500 0.1117 0.7536
Ga1 Ga 0.2500 0.0716 0.0772
Sn1 Sn 0.2500 0.8170 0.5105
Sn2 Sn 0.7500 0.1830 0.4895
Ga2 Ga 0.7500 0.5716 0.4228
Ga3 Ga 0.7500 0.9284 0.9228
Ga4 Ga 0.2500 0.4284 0.5772
Ho2 Ho 0.7500 0.8883 0.2464
Ho3 Ho 0.7500 0.6117 0.7464
Sn3 Sn 0.7500 0.3170 0.9895
Sn4 Sn 0.2500 0.6830 0.0105
Ho4 Ho 0.2500 0.3883 0.2536
```


4.
Density functional theory data (PBE-GGA) for HoGaSn after structural relaxation.

Computed properties:
The density of states at the Fermi level is 0.516 states/eV per atom. The calculation puts the total magnetic moment at 0.000 μB/atom. For the formation energy, the calculation gives -41.1 kJ per mole of atoms.

The structure in CIF format:
```
data_HoGaSn
_symmetry_space_group_name_H-M 'P 1'
_symmetry_Int_Tables_number 1
_symmetry_space_group_name_Hall 'P 1'
_cell_length_a 5.6953
_cell_length_b 6.1027
_cell_length_c 4.9900
_cell_angle_alpha 90.00
_cell_angle_beta 124.80
_cell_angle_gamma 90.00
loop_
_atom_site_label
_atom_site_type_symbol
_atom_site_fract_x
_atom_site_fract_y
_atom_site_fract_z
Sn1 Sn 0.0000 0.0000 0.5000
Ho1 Ho 0.3386 0.2500 0.1772
Ga1 Ga 0.3044 0.7500 0.1089
Ga2 Ga 0.6956 0.2500 0.8911
Sn2 Sn 0.0000 0.5000 0.5000
Ho2 Ho 0.6614 0.7500 0.8228
```


5.
Density functional theory data (PBE-GGA) for TbHoGaSn after structural relaxation.

Computed properties:
The density of states at the Fermi level is 0.676 states/eV per atom. The calculation puts the total magnetic moment at 0.000 μB/atom. The value obtained for the energy above the most stable polymorph in this dataset is 155 meV/atom. For the formation energy, the calculation gives -52.5 kJ per mole of atoms.

The structure in CIF format:
```
data_TbHoGaSn
_symmetry_space_group_name_H-M 'P 1'
_symmetry_Int_Tables_number 1
_symmetry_space_group_name_Hall 'P 1'
_cell_length_a 5.2168
_cell_length_b 5.2168
_cell_length_c 5.2168
_cell_angle_alpha 60.00
_cell_angle_beta 60.00
_cell_angle_gamma 60.00
loop_
_atom_site_label
_atom_site_type_symbol
_atom_site_fract_x
_atom_site_fract_y
_atom_site_fract_z
Tb1 Tb 0.0000 0.0000 0.0000
Ga1 Ga 0.7500 0.7500 0.7500
Sn1 Sn 0.2500 0.2500 0.2500
Ho1 Ho 0.5000 0.5000 0.5000
```


6.
Density functional theory data (PBE-GGA) for TbHoGaSn after structural relaxation.

Computed properties:
The density of states at the Fermi level is 0.865 states/eV per atom. The calculation puts the total magnetic moment at 0.000 μB/atom. The value obtained for the energy above the most stable polymorph in this dataset is 0 meV/atom. For the formation energy, the calculation gives -67.5 kJ per mole of atoms.

The structure in CIF format:
```
data_TbHoGaSn
_symmetry_space_group_name_H-M 'P 1'
_symmetry_Int_Tables_number 1
_symmetry_space_group_name_Hall 'P 1'
_cell_length_a 4.4602
_cell_length_b 4.1584
_cell_length_c 6.0002
_cell_angle_alpha 90.00
_cell_angle_beta 111.82
_cell_angle_gamma 90.00
loop_
_atom_site_label
_atom_site_type_symbol
_atom_site_fract_x
_atom_site_fract_y
_atom_site_fract_z
Tb1 Tb 0.1358 0.0000 0.2717
Ga1 Ga 0.5875 0.5000 0.1749
Ho1 Ho 0.8574 0.5000 0.7147
Sn1 Sn 0.4194 0.0000 0.8387
```


7.
Density functional theory data (PBE-GGA) for Tb2Ho2Ga4Sn after structural relaxation.

Computed properties:
The density of states at the Fermi level is 0.645 states/eV per atom. The calculation puts the total magnetic moment at 0.000 μB/atom. For the formation energy, the calculation gives -15.9 kJ per mole of atoms.

The structure in CIF format:
```
data_Tb2Ho2Ga4Sn
_symmetry_space_group_name_H-M 'P 1'
_symmetry_Int_Tables_number 1
_symmetry_space_group_name_Hall 'P 1'
_cell_length_a 6.8157
_cell_length_b 6.8157
_cell_length_c 6.8157
_cell_angle_alpha 94.54
_cell_angle_beta 117.41
_cell_angle_gamma 117.41
loop_
_atom_site_label
_atom_site_type_symbol
_atom_site_fract_x
_atom_site_fract_y
_atom_site_fract_z
Ga1 Ga 0.0000 0.2651 0.7349
Ho1 Ho 0.5000 0.7500 0.2500
Tb1 Tb 0.0000 0.6902 0.6902
Ga2 Ga 0.0000 0.7349 0.2651
Ga3 Ga 0.4699 0.7349 0.7349
Ho2 Ho 0.5000 0.2500 0.7500
Tb2 Tb 0.0000 0.3098 0.3098
Ga4 Ga 0.5301 0.2651 0.2651
Sn1 Sn 0.0000 0.0000 0.0000
```


8.
Density functional theory data (PBE-GGA) for HoTmGaSn after structural relaxation.

Computed properties:
The density of states at the Fermi level is 0.755 states/eV per atom. The calculation puts the total magnetic moment at 0.000 μB/atom. The value obtained for the energy above the most stable polymorph in this dataset is 154 meV/atom. For the formation energy, the calculation gives -50.3 kJ per mole of atoms.

The structure in CIF format:
```
data_HoTmGaSn
_symmetry_space_group_name_H-M 'P 1'
_symmetry_Int_Tables_number 1
_symmetry_space_group_name_Hall 'P 1'
_cell_length_a 5.1741
_cell_length_b 5.1741
_cell_length_c 5.1741
_cell_angle_alpha 60.00
_cell_angle_beta 60.00
_cell_angle_gamma 60.00
loop_
_atom_site_label
_atom_site_type_symbol
_atom_site_fract_x
_atom_site_fract_y
_atom_site_fract_z
Ga1 Ga 0.7500 0.7500 0.7500
Tm1 Tm 0.0000 0.0000 0.0000
Sn1 Sn 0.2500 0.2500 0.2500
Ho1 Ho 0.5000 0.5000 0.5000
```